Cr2SiO: optimized geometry, PBE with a Hubbard U.

Its total moment is 8.00 μB/f.u. For the total energy, the calculation gives -97.771 eV/cell.

The structure belongs to space group Fm-3m (No. 225); the cell edges are 6.042, 6.042 and 6.042 Å and the angles 90.00°, 90.00° and 90.00°. The asymmetric unit holds Cr at (0.250, 0.250, 0.250), Si at (0.000, 0.000, 0.000) and O at (0.000, 0.000, 0.500).